CoMoAs2 | Alexandria via LeMat-Bulk | PBE | relaxed; energy of formation from the pure elements = 0.0773 eV/atom; crystal system = cubic; space group = No. 225
1.0
0.0000 3.0628 3.0628
3.0628 0.0000 3.0628
3.0628 3.0628 0.0000
Co Mo As
1 1 2
Direct
0.0000 0.0000 0.0000 Co
0.5000 0.5000 0.5000 Mo
0.2500 0.2500 0.2500 As
0.7500 0.7500 0.7500 As